# ZnNiP2Cl

A crystal of ZnNiP2Cl relaxed with PBEsol (SCAN, Alexandria).

Properties
As for the symmetry: P4/mmm, No. 123. The calculated volume is 20.48 Å³ per atom. The uncorrected formation energy comes out at 2.23 eV/f.u.

a = 4.094 Å, b = 4.094 Å, c = 6.110 Å
α = 90.00°, β = 90.00°, γ = 90.00°
Sites, in units of the cell vectors:
Zn 0.500 0.500 0.500
Ni 0.000 0.000 0.000
P 0.000 0.500 0.000
P 0.500 0.000 0.000
Cl 0.000 0.000 0.500